Record 1
# Ac2InNi4Ge3 PBE-GGA relaxed
data_Ac2InNi4Ge3
_chemical_formula_sum 'Ac2 In1 Ni4 Ge3'
_symmetry_space_group_name_H-M 'P -4 m 2'
_symmetry_Int_Tables_number 115
_symmetry_space_group_name_Hall 'P -4 -2'
_cell_length_a 4.331
_cell_length_b 4.331
_cell_length_c 10.207
_cell_angle_alpha 90.00
_cell_angle_beta 90.00
_cell_angle_gamma 90.00
loop_
_atom_site_label
_atom_site_type_symbol
_atom_site_fract_x
_atom_site_fract_y
_atom_site_fract_z
Ac1 Ac 0.000 0.500 0.238
In1 In 0.000 0.000 0.500
Ni1 Ni 0.000 0.000 0.000
Ni2 Ni 0.000 0.500 0.643
Ni3 Ni 0.500 0.500 0.000
Ge1 Ge 0.000 0.500 0.884
Ge2 Ge 0.500 0.500 0.500
# DFT formation energy: -0.5476 eV per atom
# E_tot: -5.341 eV/atom



Record 2
# Sm2TeH2Se PBE-GGA relaxed
data_Sm2TeH2Se
_chemical_formula_sum 'Sm2 Te1 H2 Se1'
_symmetry_space_group_name_H-M 'P -3 m 1'
_symmetry_Int_Tables_number 164
_symmetry_space_group_name_Hall '-P 3 2"'
_cell_length_a 4.0112
_cell_length_b 4.0112
_cell_length_c 8.2988
_cell_angle_alpha 90.00
_cell_angle_beta 90.00
_cell_angle_gamma 120.00
loop_
_atom_site_label
_atom_site_type_symbol
_atom_site_fract_x
_atom_site_fract_y
_atom_site_fract_z
Sm1 Sm 0.3333 0.6667 0.2354
Te1 Te 0.0000 0.0000 0.5000
H1 H 0.3333 0.6667 0.7574
Se1 Se 0.0000 0.0000 0.0000
# E_tot: -5.091 eV/atom



Record 3
# ErCuNi PBE-GGA relaxed
data_ErCuNi
_chemical_formula_sum 'Er4 Cu4 Ni4'
_symmetry_space_group_name_H-M 'I m m a'
_symmetry_Int_Tables_number 74
_symmetry_space_group_name_Hall '-I 2b 2'
_cell_length_a 5.065
_cell_length_b 5.213
_cell_length_c 7.220
_cell_angle_alpha 90.00
_cell_angle_beta 90.00
_cell_angle_gamma 90.00
loop_
_atom_site_label
_atom_site_type_symbol
_atom_site_fract_x
_atom_site_fract_y
_atom_site_fract_z
Er1 Er 0.000 0.250 0.126
Cu1 Cu 0.250 0.250 0.750
Ni1 Ni 0.000 0.000 0.500
# DFT formation energy: -0.3330 eV per atom
# E_tot: -5.146 eV/atom



Record 4
# PrY2InC PBE-GGA relaxed
data_PrY2InC
_chemical_formula_sum 'Pr1 Y2 In1 C1'
_symmetry_space_group_name_H-M 'P 4/m m m'
_symmetry_Int_Tables_number 123
_symmetry_space_group_name_Hall '-P 4 2'
_cell_length_a 4.950
_cell_length_b 4.950
_cell_length_c 5.176
_cell_angle_alpha 90.00
_cell_angle_beta 90.00
_cell_angle_gamma 90.00
loop_
_atom_site_label
_atom_site_type_symbol
_atom_site_fract_x
_atom_site_fract_y
_atom_site_fract_z
Pr1 Pr 0.000 0.000 0.000
Y1 Y 0.000 0.500 0.500
In1 In 0.500 0.500 0.000
C1 C 0.000 0.000 0.500
# DFT formation energy: -0.4357 eV per atom
# E_tot: -6.370 eV/atom



Record 5
# ScTi2RuAu PBE-GGA relaxed
data_ScTi2RuAu
_chemical_formula_sum 'Sc1 Ti2 Ru1 Au1'
_symmetry_space_group_name_H-M 'P 4/m m m'
_symmetry_Int_Tables_number 123
_symmetry_space_group_name_Hall '-P 4 2'
_cell_length_a 4.541
_cell_length_b 4.541
_cell_length_c 4.767
_cell_angle_alpha 90.00
_cell_angle_beta 90.00
_cell_angle_gamma 90.00
loop_
_atom_site_label
_atom_site_type_symbol
_atom_site_fract_x
_atom_site_fract_y
_atom_site_fract_z
Sc1 Sc 0.000 0.000 0.000
Ti1 Ti 0.000 0.500 0.000
Ru1 Ru 0.500 0.500 0.500
Au1 Au 0.000 0.000 0.500
# DFT formation energy: 1.3600 eV per atom
# E_tot: -5.575 eV/atom



Record 6
# LaTa2Se PBE-GGA relaxed
data_LaTa2Se
_chemical_formula_sum 'La3 Ta6 Se3'
_symmetry_space_group_name_H-M 'R -3 m'
_symmetry_Int_Tables_number 166
_symmetry_space_group_name_Hall '-R 3 2"'
_cell_length_a 3.2591
_cell_length_b 3.2591
_cell_length_c 28.1158
_cell_angle_alpha 90.00
_cell_angle_beta 90.00
_cell_angle_gamma 120.00
loop_
_atom_site_label
_atom_site_type_symbol
_atom_site_fract_x
_atom_site_fract_y
_atom_site_fract_z
La1 La 0.0000 0.0000 0.0000
Ta1 Ta 0.0000 0.0000 0.2350
Se1 Se 0.0000 0.0000 0.5000
# E_tot: -7.758 eV/atom
# Formation energy from raw total energies: 0.27 eV per atom



Record 7
# Sc2AlRh3 PBE-GGA relaxed
data_Sc2AlRh3
_chemical_formula_sum 'Sc4 Al2 Rh6'
_symmetry_space_group_name_H-M 'C m m m'
_symmetry_Int_Tables_number 65
_symmetry_space_group_name_Hall '-C 2 2'
_cell_length_a 4.435
_cell_length_b 13.248
_cell_length_c 3.205
_cell_angle_alpha 90.00
_cell_angle_beta 90.00
_cell_angle_gamma 90.00
loop_
_atom_site_label
_atom_site_type_symbol
_atom_site_fract_x
_atom_site_fract_y
_atom_site_fract_z
Sc1 Sc 0.000 0.163 0.000
Al1 Al 0.000 0.500 0.000
Rh1 Rh 0.000 0.000 0.500
Rh2 Rh 0.000 0.339 0.500
# DFT formation energy: -1.0455 eV per atom
# E_tot: -7.456 eV/atom



Record 8
# Tm6CuPd12 PBE-GGA relaxed
data_Tm6CuPd12
_chemical_formula_sum 'Tm18 Cu3 Pd36'
_symmetry_space_group_name_H-M 'R -3'
_symmetry_Int_Tables_number 148
_symmetry_space_group_name_Hall '-R 3'
_cell_length_a 10.6094
_cell_length_b 10.6094
_cell_length_c 11.0565
_cell_angle_alpha 90.00
_cell_angle_beta 90.00
_cell_angle_gamma 120.00
loop_
_atom_site_label
_atom_site_type_symbol
_atom_site_fract_x
_atom_site_fract_y
_atom_site_fract_z
Tm1 Tm 0.0106 0.5855 0.2369
Cu1 Cu 0.0000 0.0000 0.5000
Pd1 Pd 0.0576 0.1793 0.8913
Pd2 Pd 0.0584 0.8736 0.3300
# DFT formation energy: -0.7634 eV per atom
# E_tot: -5.671 eV/atom



Record 9
# Li3ErCd9 PBE-GGA relaxed
data_Li3ErCd9
_chemical_formula_sum 'Li6 Er2 Cd18'
_symmetry_space_group_name_H-M 'C 1 2/m 1'
_symmetry_Int_Tables_number 12
_symmetry_space_group_name_Hall '-C 2y'
_cell_length_a 5.392
_cell_length_b 14.074
_cell_length_c 7.545
_cell_angle_alpha 90.00
_cell_angle_beta 110.83
_cell_angle_gamma 90.00
loop_
_atom_site_label
_atom_site_type_symbol
_atom_site_fract_x
_atom_site_fract_y
_atom_site_fract_z
Li1 Li 0.000 0.000 0.000
Li2 Li 0.250 0.250 0.500
Er1 Er 0.000 0.000 0.500
Cd1 Cd 0.000 0.500 0.000
Cd2 Cd 0.112 0.392 0.707
Cd3 Cd 0.165 0.176 0.838
# DFT formation energy: -0.1966 eV per atom
# E_tot: -1.623 eV/atom



Record 10
# SrTm2Ag PBE-GGA relaxed
data_SrTm2Ag
_chemical_formula_sum 'Sr3 Tm6 Ag3'
_symmetry_space_group_name_H-M 'R -3 m'
_symmetry_Int_Tables_number 166
_symmetry_space_group_name_Hall '-R 3 2"'
_cell_length_a 3.6727
_cell_length_b 3.6727
_cell_length_c 33.7994
_cell_angle_alpha 90.00
_cell_angle_beta 90.00
_cell_angle_gamma 120.00
loop_
_atom_site_label
_atom_site_type_symbol
_atom_site_fract_x
_atom_site_fract_y
_atom_site_fract_z
Sr1 Sr 0.0000 0.0000 0.0000
Tm1 Tm 0.0000 0.0000 0.1041
Ag1 Ag 0.0000 0.0000 0.5000
# DFT formation energy: 0.2350 eV per atom
# E_tot: -3.134 eV/atom



Record 11
# Th3Pd4 PBE-GGA relaxed
data_Th3Pd4
_chemical_formula_sum 'Th12 Pd16'
_symmetry_space_group_name_H-M 'C m c m'
_symmetry_Int_Tables_number 63
_symmetry_space_group_name_Hall '-C 2c 2'
_cell_length_a 4.048
_cell_length_b 10.764
_cell_length_c 14.922
_cell_angle_alpha 90.00
_cell_angle_beta 90.00
_cell_angle_gamma 90.00
loop_
_atom_site_label
_atom_site_type_symbol
_atom_site_fract_x
_atom_site_fract_y
_atom_site_fract_z
Th1 Th 0.000 0.069 0.250
Th2 Th 0.000 0.342 0.094
Pd1 Pd 0.000 0.000 0.000
Pd2 Pd 0.000 0.200 0.750
Pd3 Pd 0.000 0.374 0.606
# DFT formation energy: -0.8292 eV per atom
# E_tot: -6.976 eV/atom



Record 12
# TcBH2 PBE-GGA relaxed
data_TcBH2
_chemical_formula_sum 'Tc4 B4 H8'
_symmetry_space_group_name_H-M 'F m -3 m'
_symmetry_Int_Tables_number 225
_symmetry_space_group_name_Hall '-F 4 2 3'
_cell_length_a 4.704
_cell_length_b 4.704
_cell_length_c 4.704
_cell_angle_alpha 90.00
_cell_angle_beta 90.00
_cell_angle_gamma 90.00
loop_
_atom_site_label
_atom_site_type_symbol
_atom_site_fract_x
_atom_site_fract_y
_atom_site_fract_z
Tc1 Tc 0.000 0.000 0.000
B1 B 0.000 0.000 0.500
H1 H 0.250 0.250 0.250
# E_tot: -5.150 eV/atom



Record 13
# PrNd6Sn4 PBE-GGA relaxed
data_PrNd6Sn4
_chemical_formula_sum 'Pr2 Nd12 Sn8'
_symmetry_space_group_name_H-M 'I -4 2 m'
_symmetry_Int_Tables_number 121
_symmetry_space_group_name_Hall 'I -4 2'
_cell_length_a 8.150
_cell_length_b 8.150
_cell_length_c 12.001
_cell_angle_alpha 90.00
_cell_angle_beta 90.00
_cell_angle_gamma 90.00
loop_
_atom_site_label
_atom_site_type_symbol
_atom_site_fract_x
_atom_site_fract_y
_atom_site_fract_z
Pr1 Pr 0.000 0.000 0.000
Nd1 Nd 0.000 0.500 0.000
Nd2 Nd 0.158 0.158 0.667
Sn1 Sn 0.225 0.225 0.403
# DFT formation energy: -0.3818 eV per atom
# E_tot: -4.872 eV/atom



Record 14
# NaDySb2 PBE-GGA relaxed
data_NaDySb2
_chemical_formula_sum 'Na3 Dy3 Sb6'
_symmetry_space_group_name_H-M 'R 3 m'
_symmetry_Int_Tables_number 160
_symmetry_space_group_name_Hall 'R 3 -2"'
_cell_length_a 4.7646
_cell_length_b 4.7646
_cell_length_c 18.6556
_cell_angle_alpha 90.00
_cell_angle_beta 90.00
_cell_angle_gamma 120.00
loop_
_atom_site_label
_atom_site_type_symbol
_atom_site_fract_x
_atom_site_fract_y
_atom_site_fract_z
Na1 Na 0.0000 0.0000 0.0000
Dy1 Dy 0.0000 0.0000 0.8194
Sb1 Sb 0.0000 0.0000 0.2403
Sb2 Sb 0.0000 0.0000 0.4044
# E_tot: -4.095 eV/atom
# Formation energy from raw total energies: -0.55 eV per atom



Record 15
# CrInCl2 PBE-GGA relaxed
data_CrInCl2
_chemical_formula_sum 'Cr2 In2 Cl4'
_symmetry_space_group_name_H-M 'C 1 m 1'
_symmetry_Int_Tables_number 8
_symmetry_space_group_name_Hall 'C -2y'
_cell_length_a 11.675
_cell_length_b 3.404
_cell_length_c 5.934
_cell_angle_alpha 90.00
_cell_angle_beta 118.13
_cell_angle_gamma 90.00
loop_
_atom_site_label
_atom_site_type_symbol
_atom_site_fract_x
_atom_site_fract_y
_atom_site_fract_z
Cr1 Cr 0.000 0.000 0.000
In1 In 0.239 0.500 0.488
Cl1 Cl 0.083 0.500 0.836
Cl2 Cl 0.409 0.000 0.148
# E_tot: -4.547 eV/atom
# Formation energy from raw total energies: -0.53 eV per atom



Record 16
# CrRhSe2 PBE-GGA relaxed
data_CrRhSe2
_chemical_formula_sum 'Cr3 Rh3 Se6'
_symmetry_space_group_name_H-M 'R 3 m'
_symmetry_Int_Tables_number 160
_symmetry_space_group_name_Hall 'R 3 -2"'
_cell_length_a 3.5471
_cell_length_b 3.5471
_cell_length_c 23.2521
_cell_angle_alpha 90.00
_cell_angle_beta 90.00
_cell_angle_gamma 120.00
loop_
_atom_site_label
_atom_site_type_symbol
_atom_site_fract_x
_atom_site_fract_y
_atom_site_fract_z
Cr1 Cr 0.0000 0.0000 0.0000
Rh1 Rh 0.0000 0.0000 0.7591
Se1 Se 0.0000 0.0000 0.2775
Se2 Se 0.0000 0.0000 0.4767
# E_tot: -6.132 eV/atom
# Formation energy from raw total energies: -0.15 eV per atom



Record 17
# HoEr5Tm3 PBE-GGA relaxed
data_HoEr5Tm3
_chemical_formula_sum 'Ho4 Er20 Tm12'
_symmetry_space_group_name_H-M 'C 1 2/m 1'
_symmetry_Int_Tables_number 12
_symmetry_space_group_name_Hall '-C 2y'
_cell_length_a 15.815
_cell_length_b 8.696
_cell_length_c 11.558
_cell_angle_alpha 90.00
_cell_angle_beta 128.91
_cell_angle_gamma 90.00
loop_
_atom_site_label
_atom_site_type_symbol
_atom_site_fract_x
_atom_site_fract_y
_atom_site_fract_z
Ho1 Ho 0.135 0.000 0.351
Er1 Er 0.000 0.319 0.000
Er2 Er 0.056 0.500 0.400
Er3 Er 0.114 0.180 0.828
Er4 Er 0.154 0.500 0.971
Tm1 Tm 0.000 0.000 0.000
Tm2 Tm 0.000 0.000 0.500
Tm3 Tm 0.226 0.500 0.292
Tm4 Tm 0.245 0.500 0.804
# DFT formation energy: 0.5067 eV per atom
# E_tot: -4.027 eV/atom



Record 18
# Pr6Ge2Te3Br PBE-GGA relaxed
data_Pr6Ge2Te3Br
_chemical_formula_sum 'Pr12 Ge4 Te6 Br2'
_symmetry_space_group_name_H-M 'C 1 2/m 1'
_symmetry_Int_Tables_number 12
_symmetry_space_group_name_Hall '-C 2y'
_cell_length_a 19.476
_cell_length_b 4.406
_cell_length_c 8.993
_cell_angle_alpha 90.00
_cell_angle_beta 103.29
_cell_angle_gamma 90.00
loop_
_atom_site_label
_atom_site_type_symbol
_atom_site_fract_x
_atom_site_fract_y
_atom_site_fract_z
Pr1 Pr 0.014 0.000 0.264
Pr2 Pr 0.172 0.500 0.570
Pr3 Pr 0.173 0.500 0.113
Ge1 Ge 0.168 0.000 0.334
Te1 Te 0.000 0.500 0.500
Te2 Te 0.160 0.000 0.836
Br1 Br 0.000 0.500 0.000
# E_tot: -5.373 eV/atom
# Formation energy from raw total energies: -1.29 eV per atom



Record 19
# Pr12Tm7In PBE-GGA relaxed
data_Pr12Tm7In
_chemical_formula_sum 'Pr24 Tm14 In2'
_symmetry_space_group_name_H-M 'I m -3'
_symmetry_Int_Tables_number 204
_symmetry_space_group_name_Hall '-I 2 2 3'
_cell_length_a 11.664
_cell_length_b 11.664
_cell_length_c 11.664
_cell_angle_alpha 90.00
_cell_angle_beta 90.00
_cell_angle_gamma 90.00
loop_
_atom_site_label
_atom_site_type_symbol
_atom_site_fract_x
_atom_site_fract_y
_atom_site_fract_z
Pr1 Pr 0.000 0.222 0.223
Tm1 Tm 0.000 0.000 0.500
Tm2 Tm 0.250 0.250 0.250
In1 In 0.000 0.000 0.000
# DFT formation energy: 0.6609 eV per atom
# E_tot: -3.909 eV/atom



Record 20
# Tb4CdSn PBE-GGA relaxed
data_Tb4CdSn
_chemical_formula_sum 'Tb16 Cd4 Sn4'
_symmetry_space_group_name_H-M 'C m c m'
_symmetry_Int_Tables_number 63
_symmetry_space_group_name_Hall '-C 2c 2'
_cell_length_a 5.408
_cell_length_b 21.771
_cell_length_c 6.520
_cell_angle_alpha 90.00
_cell_angle_beta 90.00
_cell_angle_gamma 90.00
loop_
_atom_site_label
_atom_site_type_symbol
_atom_site_fract_x
_atom_site_fract_y
_atom_site_fract_z
Tb1 Tb 0.000 0.064 0.250
Tb2 Tb 0.000 0.205 0.006
Tb3 Tb 0.000 0.370 0.250
Cd1 Cd 0.000 0.074 0.750
Sn1 Sn 0.000 0.342 0.750
# DFT formation energy: -0.1618 eV per atom
# E_tot: -4.068 eV/atom